The following is a PBE-GGA calculation of SrAcPrPb after structural relaxation, from the Alexandria database.

DFT total energy, eV per atom: -3.60
ΔH_f (0 K), kJ/mol of atoms: -3
Calculated density, g cm⁻³: 7.5

Structure (CIF):
```
data_SrAcPrPb
_cell_length_a 8.386
_cell_length_b 8.386
_cell_length_c 8.386
_cell_angle_alpha 90.00
_cell_angle_beta 90.00
_cell_angle_gamma 90.00
_symmetry_space_group_name_H-M 'F -4 3 m'
_symmetry_Int_Tables_number 216
_symmetry_space_group_name_Hall 'F -4 2 3'
loop_
_atom_site_label
_atom_site_fract_x
_atom_site_fract_y
_atom_site_fract_z
_atom_site_occupancy
Sr1 0.000 0.000 0.000 1
Ac1 0.250 0.250 0.250 1
Pr1 0.000 0.000 0.500 1
Pb1 0.250 0.250 0.750 1
```



The following is a PBE-GGA calculation of AcTbPrPb after structural relaxation, from the Alexandria database.

DFT total energy, eV per atom: -4.41
ΔH_f (0 K), kJ/mol of atoms: -10
Calculated density, g cm⁻³: 9.3

Structure (CIF):
```
data_AcTbPrPb
_cell_length_a 8.061
_cell_length_b 8.061
_cell_length_c 8.061
_cell_angle_alpha 90.00
_cell_angle_beta 90.00
_cell_angle_gamma 90.00
_symmetry_space_group_name_H-M 'F -4 3 m'
_symmetry_Int_Tables_number 216
_symmetry_space_group_name_Hall 'F -4 2 3'
loop_
_atom_site_label
_atom_site_fract_x
_atom_site_fract_y
_atom_site_fract_z
_atom_site_occupancy
Ac1 0.000 0.000 0.000 1
Tb1 0.250 0.250 0.250 1
Pr1 0.250 0.250 0.750 1
Pb1 0.000 0.000 0.500 1
```



The following is a PBE-GGA calculation of AcPrTePb after structural relaxation, from the Alexandria database.

DFT total energy, eV per atom: -4.97
Energy above the lowest structure with this stoichiometry, eV per formula unit: 0.000
Calculated density, g cm⁻³: 7.9
Formation energy from raw total energies, meV per atom: -1035.4

Structure (CIF):
```
data_AcPrTePb
_cell_length_a 4.7121
_cell_length_b 4.7121
_cell_length_c 23.0374
_cell_angle_alpha 90.00
_cell_angle_beta 90.00
_cell_angle_gamma 120.00
_symmetry_space_group_name_H-M 'R 3 m'
_symmetry_Int_Tables_number 160
_symmetry_space_group_name_Hall 'R 3 -2"'
loop_
_atom_site_label
_atom_site_fract_x
_atom_site_fract_y
_atom_site_fract_z
_atom_site_occupancy
Ac1 0.0000 0.0000 0.0000 1
Pr1 0.0000 0.0000 0.5053 1
Te1 0.0000 0.0000 0.7565 1
Pb1 0.0000 0.0000 0.2481 1
```



The following is a PBE-GGA calculation of AcPrTePb after structural relaxation, from the Alexandria database.

DFT total energy, eV per atom: -4.75
Energy above the lowest structure with this stoichiometry, eV per formula unit: 0.864
Calculated density, g cm⁻³: 8.8
Formation energy from raw total energies, meV per atom: -819.3

Structure (CIF):
```
data_AcPrTePb
_cell_length_a 8.099
_cell_length_b 8.099
_cell_length_c 8.099
_cell_angle_alpha 90.00
_cell_angle_beta 90.00
_cell_angle_gamma 90.00
_symmetry_space_group_name_H-M 'F -4 3 m'
_symmetry_Int_Tables_number 216
_symmetry_space_group_name_Hall 'F -4 2 3'
loop_
_atom_site_label
_atom_site_fract_x
_atom_site_fract_y
_atom_site_fract_z
_atom_site_occupancy
Ac1 0.000 0.000 0.000 1
Pr1 0.000 0.000 0.500 1
Te1 0.250 0.250 0.750 1
Pb1 0.250 0.250 0.250 1
```



- DFT total energy of number 4 (AcPrTePb)?
  -4.75 eV per atom